VASP calculation (GGA+U) on crystalline KCoNO2 at its relaxed geometry.

Cell: 4.6157 4.6157 4.6773 Å, 90.00 90.00 90.00°
Closest atoms and distances in Å follow each position.
Sites, in units of the cell vectors:
K: 0.0000 0.0000 0.0000  4 O 2.31, 2 N 2.34
Co: 0.5000 0.5000 0.5000  4 N 3.26, 8 O 3.29
N: 0.0000 0.0000 0.5000  2 K 2.34
O: 0.0000 0.5000 0.0000  2 K 2.31
O: 0.5000 0.0000 0.0000  2 K 2.31

Output
Magnetic moment: 7.05 μB per formula unit
E_tot: -3.046 eV per atom
Symmetry: No. 123
V: 100 Å³/f.u.
Density: 2.400 Mg/m³